KY2Ta (SCAN, PBEsol geometry); distance to the lowest polymorph of the same formula = 0 meV per atom; theoretical density = 5.56 Mg/m³
1.0
-2.243 -1.067 -1.961
2.117 -1.901 -1.386
-2.662 -8.596 7.723
K Ta Y
1 1 2
Cartesian
-1.393 -4.499 4.042
-2.167 -8.280 4.432
-2.580 -8.332 7.485
-0.640 -3.348 0.001

=====

KYTa2 (SCAN, PBEsol geometry); distance to the lowest polymorph of the same formula = 291 meV per atom; theoretical density = 7.91 Mg/m³
1.0
3.040 0.000 0.000
0.000 5.951 0.000
-1.520 -2.976 5.684
K Ta Y
1 2 1
Cartesian
0.000 2.976 3.025
0.000 0.000 0.432
1.520 0.000 2.521
0.000 0.000 5.389

=====

KY2Ta (SCAN, PBEsol geometry); distance to the lowest polymorph of the same formula = 126 meV per atom; theoretical density = 5.08 Mg/m³
1.0
-1.000 0.839 -3.041
3.342 -2.457 -1.777
-5.225 -6.962 -0.201
K Ta Y
1 1 2
Cartesian
-2.787 -3.713 -0.107
-3.171 -6.594 -2.577
-5.005 -6.668 -0.193
0.241 -2.049 -2.445

=====

KY3Ta (SCAN, PBEsol geometry); electronic total energy = -29.96 eV per atom; theoretical density = 6.19 Mg/m³
1.0
5.074 0.000 0.000
0.000 5.074 0.000
0.000 0.000 5.074
Y K Ta
3 1 1
Cartesian
0.000 2.537 0.000
0.000 0.000 2.537
2.537 0.000 0.000
0.000 0.000 0.000
2.537 2.537 2.537

=====

KYTa2 (SCAN, PBEsol geometry); distance to the lowest polymorph of the same formula = 505 meV per atom; theoretical density = 9.20 Mg/m³
1.0
-1.963 -1.921 2.953
2.326 -3.246 -0.565
3.385 4.509 2.429
K Ta Y
1 2 1
Cartesian
0.000 0.000 0.000
0.802 0.002 3.288
2.947 -0.660 1.529
0.182 -2.583 1.194

=====

KY2Ta (SCAN, PBEsol geometry); distance to the lowest polymorph of the same formula = 420 meV per atom; theoretical density = 6.03 Mg/m³
1.0
-4.398 -1.465 -0.445
0.890 -1.344 -4.369
3.105 -3.161 4.087
K Ta Y
1 1 2
Cartesian
-1.754 -1.405 -2.407
1.120 -2.955 -1.345
0.000 0.000 0.000
-1.524 -3.015 0.617

=====

KYTa2 (SCAN, PBEsol geometry); distance to the lowest polymorph of the same formula = 798 meV per atom; theoretical density = 8.41 Mg/m³
1.0
2.836 0.000 0.000
0.000 5.841 0.000
0.000 0.000 5.841
K Ta Y
1 2 1
Cartesian
1.418 0.000 0.000
0.000 0.000 2.921
0.000 2.921 0.000
1.418 2.921 2.921

=====

KYTa2 (SCAN, PBEsol geometry); distance to the lowest polymorph of the same formula = 492 meV per atom; theoretical density = 9.20 Mg/m³
1.0
4.042 0.000 0.000
0.000 4.042 0.000
0.000 0.000 5.414
K Ta Y
1 2 1
Cartesian
0.000 0.000 2.707
0.000 2.021 0.000
2.021 0.000 0.000
2.021 2.021 2.707

=====

KTaZn (SCAN, PBEsol geometry); electronic total energy = -27.66 eV per atom; theoretical density = 6.34 Mg/m³
1.0
-1.961 -3.582 2.384
0.995 -4.464 -1.199
2.657 -2.678 2.851
K Ta Zn
1 1 1
Cartesian
0.000 0.000 0.000
0.845 -5.362 2.018
1.268 -8.043 3.026

=====

KTa2Zn (SCAN, PBEsol geometry); electronic total energy = -37.65 eV per atom; theoretical density = 8.79 Mg/m³
1.0
-0.425 -2.772 0.628
2.200 0.853 5.253
-5.744 2.122 -1.095
K Ta Zn
1 2 1
Cartesian
-1.251 0.989 3.520
-0.399 0.095 0.151
-2.605 -0.813 1.223
-4.570 1.094 1.736

=====

KTa2Zn (SCAN, PBEsol geometry); electronic total energy = -37.90 eV per atom; theoretical density = 8.40 Mg/m³
1.0
-0.259 -0.523 2.802
-2.427 -2.814 -0.749
6.481 -5.478 -0.424
K Ta Zn
1 2 1
Cartesian
1.898 -4.407 0.815
5.483 -4.634 -0.358
0.998 -0.844 -0.065
-1.343 -1.668 1.026

=====

KTa2Zn (SCAN, PBEsol geometry); electronic total energy = -38.09 eV per atom; theoretical density = 9.55 Mg/m³
1.0
-2.096 1.566 -0.448
-0.340 -1.848 -4.870
-2.350 -4.105 4.520
K Ta Zn
1 2 1
Cartesian
-1.048 0.783 -0.224
-2.743 -1.956 -1.863
-2.043 -2.432 1.065
-0.170 -0.924 -2.435

=====

KTa2Zn (SCAN, PBEsol geometry); electronic total energy = -37.36 eV per atom; theoretical density = 9.46 Mg/m³
1.0
3.975 0.000 0.000
0.000 3.975 0.000
-1.987 -1.987 5.182
K Ta Zn
1 2 1
Cartesian
0.000 0.000 0.000
1.987 0.000 2.591
0.000 1.987 2.591
1.987 1.987 0.000

=====

KTa2Zn (SCAN, PBEsol geometry); electronic total energy = -37.36 eV per atom; theoretical density = 9.43 Mg/m³
1.0
3.965 0.000 0.000
0.000 3.965 0.000
0.000 0.000 5.227
K Ta Zn
1 2 1
Cartesian
0.000 0.000 2.614
0.000 1.982 0.000
1.982 0.000 0.000
1.982 1.982 2.614

=====

KTaZn4 (SCAN, PBEsol geometry); electronic total energy = -21.03 eV per atom; theoretical density = 7.92 Mg/m³
1.0
-0.283 3.481 -3.889
-4.631 1.181 -2.119
-2.140 4.694 0.844
K Ta Zn
1 1 4
Cartesian
-5.290 7.018 -3.873
0.000 0.000 0.000
-2.624 3.482 -1.921
-3.719 5.884 -1.489
-2.769 5.263 -3.912
-4.994 4.086 -3.006

=====

K2ZrTa (SCAN, PBEsol geometry); distance to the lowest polymorph of the same formula = 539 meV per atom; theoretical density = 5.30 Mg/m³
1.0
-2.080 0.562 -1.918
3.677 -1.051 -4.296
-1.768 -6.380 0.048
K Ta Zr
2 1 1
Cartesian
2.744 -0.784 -3.205
0.933 -0.267 -1.090
-0.086 -3.434 -3.083
-1.924 -2.909 -0.935

=====

K2ZrTa (SCAN, PBEsol geometry); distance to the lowest polymorph of the same formula = 379 meV per atom; theoretical density = 5.51 Mg/m³
1.0
-1.639 -1.172 -2.289
4.351 -0.943 -2.632
0.394 -6.057 2.820
K Ta Zr
2 1 1
Cartesian
0.000 0.000 0.000
1.356 -1.057 -2.460
-0.622 -3.615 0.266
2.372 -3.500 0.094

=====

K2ZrTa (SCAN, PBEsol geometry); distance to the lowest polymorph of the same formula = 0 meV per atom; theoretical density = 4.42 Mg/m³
1.0
3.135 0.000 0.000
0.000 3.439 0.000
0.000 0.000 12.206
K Ta Zr
2 1 1
Cartesian
0.000 0.000 11.753
1.567 1.719 3.664
0.000 0.000 6.712
1.567 1.719 8.387

=====

K2ZrTa (SCAN, PBEsol geometry); distance to the lowest polymorph of the same formula = 26 meV per atom; theoretical density = 3.82 Mg/m³
1.0
-1.946 -1.255 -2.226
3.016 -3.039 -0.922
-4.846 -4.392 9.029
K Ta Zr
2 1 1
Cartesian
-2.463 -6.695 3.610
-1.313 -1.992 2.271
-0.973 -0.628 -1.113
1.508 -1.520 -0.461

=====

K2ZrTa (SCAN, PBEsol geometry); distance to the lowest polymorph of the same formula = 1394 meV per atom; theoretical density = 5.07 Mg/m³
1.0
5.454 0.000 0.000
2.727 4.724 0.000
2.727 1.575 4.453
K Ta Zr
2 1 1
Cartesian
2.727 1.575 1.113
8.182 4.724 3.340
0.000 0.000 0.000
5.454 3.149 2.227